A plane-wave DFT calculation with PBE-GGA was carried out for crystalline V3CrH at its relaxed geometry.

abc: 2.6421 4.0236 5.2219
angles: 90.00 103.25 90.00
Last column: nearest neighbours and their distance in Å.
Element x y z (fractional)
V 0.0000 0.0000 0.0000  2 H 2.01
V 0.2864 0.5000 0.7295  1 H 1.75
V 0.7136 0.5000 0.2705  1 H 1.75
Cr 0.5000 0.0000 0.5000  6 V 2.47-2.64, 2 Cr 2.64
H 0.0000 0.5000 0.0000  2 V 1.75

Values from the calculation:
- total moment (μB/atom) = 0.000
- offset from the most stable computed form (meV per atom) = 0
- symmetry = No. 10
- raw total energy (eV for the cell shown) = -40.711
- calculated volume (Å³/f.u.) = 54.0



A plane-wave DFT calculation with PBE-GGA was carried out for crystalline VZnCr2H at its relaxed geometry.

abc: 3.7126 3.7126 3.7858
angles: 90.00 90.00 90.00
Last column: nearest neighbours and their distance in Å.
Element x y z (fractional)
V 0.0000 0.0000 0.0000  2 H 1.89
Zn 0.5000 0.5000 0.0000  4 V 2.63, 8 Cr 2.65
Cr 0.0000 0.5000 0.5000  2 H 1.86
Cr 0.5000 0.0000 0.5000  2 H 1.86
H 0.0000 0.0000 0.5000  4 Cr 1.86, 2 V 1.89

Values from the calculation:
- total moment (μB/atom) = 0.000
- symmetry = No. 123
- raw total energy (eV for the cell shown) = -32.565
- calculated volume (Å³/f.u.) = 52.2



A plane-wave DFT calculation with PBE-GGA was carried out for crystalline V2ZnCrH at its relaxed geometry.

abc: 3.8203 3.8203 3.7014
angles: 90.00 90.00 90.00
Last column: nearest neighbours and their distance in Å.
Element x y z (fractional)
V 0.0000 0.5000 0.0000  2 H 1.91
V 0.5000 0.0000 0.0000  2 H 1.91
Zn 0.0000 0.0000 0.5000  8 V 2.66, 4 Cr 2.70
Cr 0.5000 0.5000 0.5000  2 H 1.85
H 0.5000 0.5000 0.0000  2 Cr 1.85, 4 V 1.91

Values from the calculation:
- total moment (μB/atom) = 0.000
- symmetry = No. 123
- raw total energy (eV for the cell shown) = -32.444
- calculated volume (Å³/f.u.) = 54.0



A plane-wave DFT calculation with PBE-GGA was carried out for crystalline Cr2HW at its relaxed geometry.

abc: 4.9830 4.9830 4.9830
angles: 60.00 60.00 60.00
Last column: nearest neighbours and their distance in Å.
Element x y z (fractional)
Cr 0.0000 0.0000 0.0000  2 H 1.53
Cr 0.0000 0.0000 0.5000  2 H 1.53
Cr 0.0000 0.5000 0.0000  2 H 1.53
Cr 0.5000 0.0000 0.0000  2 H 1.53
H 0.1250 0.1250 0.1250  4 Cr 1.53
H 0.8750 0.8750 0.8750  4 Cr 1.53
W 0.3750 0.3750 0.3750  12 Cr 2.92, 4 W 3.05, 4 H 3.05
W 0.6250 0.6250 0.6250  12 Cr 2.92, 4 H 3.05, 4 W 3.05

Values from the calculation:
- total moment (μB/atom) = 0.000
- offset from the most stable computed form (meV per atom) = 0
- symmetry = No. 227
- raw total energy (eV for the cell shown) = -68.150
- calculated volume (Å³/f.u.) = 43.7



A plane-wave DFT calculation with PBE-GGA was carried out for crystalline Cr2HW at its relaxed geometry.

abc: 2.7117 2.7117 20.9252
angles: 90.00 90.00 120.00
Last column: nearest neighbours and their distance in Å.
Element x y z (fractional)
Cr 0.0000 0.0000 0.1167  3 H 1.88
Cr 0.0000 0.0000 0.8833  3 H 1.88
Cr 0.3333 0.6667 0.5499  3 H 1.88
Cr 0.3333 0.6667 0.7834  3 H 1.88
Cr 0.6667 0.3333 0.2166  3 H 1.88
Cr 0.6667 0.3333 0.4501  3 H 1.88
H 0.0000 0.0000 0.5000  6 Cr 1.88
H 0.3333 0.6667 0.1667  6 Cr 1.88
H 0.6667 0.3333 0.8333  6 Cr 1.88
W 0.0000 0.0000 0.0000  2 Cr 2.44, 6 W 2.71
W 0.3333 0.6667 0.6667  2 Cr 2.44, 6 W 2.71
W 0.6667 0.3333 0.3333  2 Cr 2.44, 6 W 2.71

Values from the calculation:
- total moment (μB/atom) = 0.000
- offset from the most stable computed form (meV per atom) = 189
- symmetry = No. 166
- raw total energy (eV for the cell shown) = -99.953
- calculated volume (Å³/f.u.) = 44.4



A plane-wave DFT calculation with PBE-GGA was carried out for crystalline Cr2HW at its relaxed geometry.

abc: 5.8441 5.8441 5.8441
angles: 90.00 90.00 90.00
Last column: nearest neighbours and their distance in Å.
Element x y z (fractional)
Cr 0.2500 0.2500 0.2500  4 W 2.53, 4 H 2.53
Cr 0.2500 0.2500 0.7500  4 H 2.53, 4 W 2.53
Cr 0.2500 0.7500 0.2500  4 H 2.53, 4 W 2.53
Cr 0.2500 0.7500 0.7500  4 H 2.53, 4 W 2.53
Cr 0.7500 0.2500 0.2500  4 H 2.53, 4 W 2.53
Cr 0.7500 0.2500 0.7500  4 H 2.53, 4 W 2.53
Cr 0.7500 0.7500 0.2500  4 H 2.53, 4 W 2.53
Cr 0.7500 0.7500 0.7500  4 H 2.53, 4 W 2.53
H 0.0000 0.0000 0.0000  8 Cr 2.53
H 0.0000 0.5000 0.5000  8 Cr 2.53
H 0.5000 0.0000 0.5000  8 Cr 2.53
H 0.5000 0.5000 0.0000  8 Cr 2.53
W 0.0000 0.0000 0.5000  8 Cr 2.53
W 0.0000 0.5000 0.0000  8 Cr 2.53
W 0.5000 0.0000 0.0000  8 Cr 2.53
W 0.5000 0.5000 0.5000  8 Cr 2.53

Values from the calculation:
- total moment (μB/atom) = 1.087
- offset from the most stable computed form (meV per atom) = 568
- symmetry = No. 225
- raw total energy (eV for the cell shown) = -127.216
- calculated volume (Å³/f.u.) = 49.9



A plane-wave DFT calculation with PBE-GGA was carried out for crystalline CrH3W at its relaxed geometry.

abc: 3.2946 3.2946 3.2946
angles: 90.00 90.00 90.00
Last column: nearest neighbours and their distance in Å.
Element x y z (fractional)
Cr 0.0000 0.0000 0.0000  6 H 1.65
H 0.0000 0.0000 0.5000  2 Cr 1.65
H 0.0000 0.5000 0.0000  2 Cr 1.65
H 0.5000 0.0000 0.0000  2 Cr 1.65
W 0.5000 0.5000 0.5000  12 H 2.33

Values from the calculation:
- total moment (μB/atom) = 0.349
- offset from the most stable computed form (meV per atom) = 0
- symmetry = No. 221
- raw total energy (eV for the cell shown) = -30.350
- calculated volume (Å³/f.u.) = 35.8



A plane-wave DFT calculation with PBE-GGA was carried out for crystalline CrHW at its relaxed geometry.

abc: 2.7319 4.9514 5.0395
angles: 113.74 96.34 97.82
Last column: nearest neighbours and their distance in Å.
Element x y z (fractional)
Cr 0.1708 0.4669 0.2267  3 H 1.84-1.92
Cr 0.8292 0.5331 0.7733  3 H 1.84-1.92
H 0.2283 0.3174 0.5245  3 Cr 1.84-1.92, 1 W 2.01
H 0.7717 0.6826 0.4755  3 Cr 1.84-1.92, 1 W 2.01
W 0.3027 0.0292 0.7662  2 H 2.01-2.23
W 0.6973 0.9708 0.2338  2 H 2.01-2.23

Values from the calculation:
- total moment (μB/atom) = 0.000
- symmetry = No. 2
- raw total energy (eV for the cell shown) = -50.760
- calculated volume (Å³/f.u.) = 30.4



A plane-wave DFT calculation with PBE-GGA was carried out for crystalline Cr2H2W at its relaxed geometry.

abc: 3.0185 3.0185 9.9981
angles: 90.00 90.00 90.00
Last column: nearest neighbours and their distance in Å.
Element x y z (fractional)
Cr 0.0000 0.0000 0.1502  4 H 1.81
Cr 0.0000 0.0000 0.8498  4 H 1.81
Cr 0.5000 0.5000 0.3498  4 H 1.81
Cr 0.5000 0.5000 0.6502  4 H 1.81
H 0.0000 0.5000 0.2500  4 Cr 1.81
H 0.0000 0.5000 0.7500  4 Cr 1.81
H 0.5000 0.0000 0.2500  4 Cr 1.81
H 0.5000 0.0000 0.7500  4 Cr 1.81
W 0.0000 0.0000 0.5000  8 Cr 2.61, 8 H 2.92
W 0.5000 0.5000 0.0000  8 Cr 2.61, 8 H 2.92

Values from the calculation:
- total moment (μB/atom) = 0.326
- symmetry = No. 139
- raw total energy (eV for the cell shown) = -76.216
- calculated volume (Å³/f.u.) = 45.5



A plane-wave DFT calculation with PBE-GGA was carried out for crystalline CrH3W at its relaxed geometry.

abc: 3.4988 3.4988 3.4988
angles: 90.00 90.00 90.00
Last column: nearest neighbours and their distance in Å.
Element x y z (fractional)
Cr 0.0000 0.0000 0.0000  12 H 2.47
H 0.0000 0.5000 0.5000  2 W 1.75
H 0.5000 0.0000 0.5000  2 W 1.75
H 0.5000 0.5000 0.0000  2 W 1.75
W 0.5000 0.5000 0.5000  6 H 1.75

Values from the calculation:
- total moment (μB/atom) = 0.607
- offset from the most stable computed form (meV per atom) = 12
- symmetry = No. 221
- raw total energy (eV for the cell shown) = -30.290
- calculated volume (Å³/f.u.) = 42.8



A plane-wave DFT calculation with PBE-GGA was carried out for crystalline Zr2CrHW at its relaxed geometry.

abc: 4.6645 4.6645 3.4725
angles: 90.00 90.00 90.00
Last column: nearest neighbours and their distance in Å.
Element x y z (fractional)
Zr 0.0000 0.5000 0.0000  2 H 2.33
Zr 0.5000 0.0000 0.0000  2 H 2.33
Cr 0.0000 0.0000 0.5000  2 H 1.74
H 0.0000 0.0000 0.0000  2 Cr 1.74
W 0.5000 0.5000 0.5000  8 Zr 2.91

Values from the calculation:
- total moment (μB/atom) = 0.418
- symmetry = No. 123
- raw total energy (eV for the cell shown) = -42.671
- calculated volume (Å³/f.u.) = 75.6